w) The following is a PBE calculation of a relaxed structure of Pr5CdRh2, from the Alexandria database.

Total magnetic moment: 0.00 Bohr magnetons per cell

a = 5.7085 Å, b = 6.8872 Å, c = 14.0674 Å
α = 90.00°, β = 90.00°, γ = 114.48°
Sites, in units of the cell vectors:
Pr 0.7680 0.5360 0.2500
Pr 0.0580 0.1161 0.3756
Pr 0.9420 0.8839 0.8756
Pr 0.3530 0.7061 0.0510
Pr 0.9420 0.8839 0.6244
Pr 0.2320 0.4640 0.7500
Pr 0.6470 0.2939 0.9490
Pr 0.0580 0.1161 0.1244
Pr 0.3530 0.7061 0.4490
Pr 0.6470 0.2939 0.5510
Rh 0.1564 0.3128 0.5586
Rh 0.8436 0.6872 0.0586
Rh 0.1564 0.3128 0.9414
Rh 0.8436 0.6872 0.4414
Cd 0.4973 0.9945 0.7500
Cd 0.5027 0.0055 0.2500

***

x) The following is a PBE calculation of a relaxed structure of Pr5CdRh2, from the Alexandria database.

Total magnetic moment: 0.00 Bohr magnetons per cell

a = 8.1071 Å, b = 8.1071 Å, c = 9.0091 Å
α = 116.74°, β = 116.74°, γ = 90.00°
Sites, in units of the cell vectors:
Pr 0.0280 0.5280 0.7314
Pr 0.7965 0.9720 0.2686
Pr 0.4720 0.2965 0.2686
Pr 0.5000 0.5000 0.0000
Pr 0.5280 0.7035 0.7314
Pr 0.0000 0.0000 0.0000
Pr 0.9720 0.4720 0.2686
Pr 0.2965 0.7965 0.2686
Pr 0.7035 0.2035 0.7314
Pr 0.2035 0.0280 0.7314
Rh 0.6351 0.1351 0.0000
Rh 0.1351 0.3649 0.0000
Rh 0.8649 0.6351 0.0000
Rh 0.3649 0.8649 0.0000
Cd 0.2500 0.2500 0.5000
Cd 0.7500 0.7500 0.5000

***

Stability, lowest: w)

***

w) The following is a PBE calculation of a relaxed structure of Pr2CdRu, from the Alexandria database.

Total magnetic moment: 0.00 Bohr magnetons per cell

a = 3.5969 Å, b = 3.5969 Å, c = 8.0049 Å
α = 90.00°, β = 90.00°, γ = 90.00°
Sites, in units of the cell vectors:
Pr 0.0000 0.0000 0.7837
Pr 0.0000 0.0000 0.2163
Ru 0.5000 0.5000 0.0000
Cd 0.5000 0.5000 0.5000

***

x) The following is a PBE calculation of a relaxed structure of Pr2CdRu, from the Alexandria database.

Total magnetic moment: 0.00 Bohr magnetons per cell

a = 4.1451 Å, b = 4.1451 Å, c = 8.3828 Å
α = 75.69°, β = 75.69°, γ = 60.00°
Sites, in units of the cell vectors:
Ru 0.6657 0.6657 0.0028
Cd 0.5010 0.5010 0.4970
Pr 0.2694 0.2694 0.1919
Pr 0.0639 0.0639 0.8083

***

y) The following is a PBE calculation of a relaxed structure of Pr2CdRu, from the Alexandria database.

Total magnetic moment: 0.00 Bohr magnetons per cell

a = 5.2370 Å, b = 5.2370 Å, c = 5.2370 Å
α = 60.00°, β = 60.00°, γ = 60.00°
Sites, in units of the cell vectors:
Ru 0.0000 0.0000 0.0000
Pr 0.2500 0.2500 0.2500
Pr 0.7500 0.7500 0.7500
Cd 0.5000 0.5000 0.5000

***

z) The following is a PBE calculation of a relaxed structure of Pr2CdRu, from the Alexandria database.

Total magnetic moment: 0.00 Bohr magnetons per cell

a = 5.4760 Å, b = 6.4001 Å, c = 13.1063 Å
α = 97.92°, β = 90.00°, γ = 90.00°
Sites, in units of the cell vectors:
Pr 0.2500 0.9765 0.6822
Pr 0.2499 0.8865 0.0976
Pr 0.7501 0.3865 0.5976
Pr 0.7500 0.0235 0.3178
Pr 0.7501 0.1135 0.9024
Pr 0.2499 0.6135 0.4024
Pr 0.7500 0.4765 0.1822
Pr 0.2500 0.5235 0.8178
Ru 0.7499 0.9951 0.1139
Ru 0.2501 0.4951 0.6139
Ru 0.7499 0.5049 0.3861
Ru 0.2501 0.0049 0.8861
Cd 0.7500 0.6401 0.9569
Cd 0.7500 0.8599 0.5431
Cd 0.2500 0.1401 0.4569
Cd 0.2500 0.3599 0.0431

***

Stability, lowest: x)

***

w) The following is a PBE calculation of a relaxed structure of Pr7Cd2Ru2, from the Alexandria database.

Total magnetic moment: 0.00 Bohr magnetons per cell

a = 3.9377 Å, b = 9.9950 Å, c = 9.9950 Å
α = 59.91°, β = 78.64°, γ = 78.64°
Sites, in units of the cell vectors:
Pr 0.5000 0.0275 0.9725
Pr 0.6366 0.4656 0.2613
Pr 0.8477 0.4133 0.8913
Pr 0.3634 0.7387 0.5344
Pr 0.8213 0.0820 0.2753
Pr 0.1523 0.1087 0.5867
Pr 0.1787 0.7247 0.9180
Ru 0.7387 0.8513 0.6713
Ru 0.2613 0.3287 0.1487
Cd 0.5000 0.3601 0.6399
Cd 0.0000 0.7533 0.2467

***

x) The following is a PBE calculation of a relaxed structure of Pr7Cd2Ru2, from the Alexandria database.

Total magnetic moment: 0.00 Bohr magnetons per cell

a = 7.0570 Å, b = 7.3660 Å, c = 7.0570 Å
α = 90.00°, β = 109.04°, γ = 90.00°
Sites, in units of the cell vectors:
Cd 0.1706 0.5000 0.1706
Cd 0.8294 0.5000 0.8294
Ru 0.7026 0.0000 0.2974
Ru 0.2974 0.0000 0.7026
Pr 0.0000 0.7468 0.5000
Pr 0.0000 0.2532 0.5000
Pr 0.5000 0.2532 0.0000
Pr 0.5000 0.7578 0.5000
Pr 0.0000 0.0000 0.0000
Pr 0.5000 0.7468 0.0000
Pr 0.5000 0.2422 0.5000

***

Stability, lowest: x)

***

w) The following is a PBE calculation of a relaxed structure of Pr6CdRu2, from the Alexandria database.

Total magnetic moment: 0.00 Bohr magnetons per cell

a = 5.3543 Å, b = 5.8441 Å, c = 9.3690 Å
α = 80.14°, β = 90.00°, γ = 117.26°
Sites, in units of the cell vectors:
Pr 0.2919 0.5838 0.8366
Pr 0.7081 0.4162 0.1634
Pr 0.9603 0.9206 0.8468
Pr 0.6593 0.3186 0.6161
Pr 0.3407 0.6814 0.3839
Pr 0.0397 0.0794 0.1532
Ru 0.3876 0.7753 0.0973
Ru 0.6124 0.2247 0.9027
Cd 0.0000 0.0000 0.5000

***

x) The following is a PBE calculation of a relaxed structure of Pr6CdRu2, from the Alexandria database.

Total magnetic moment: 0.00 Bohr magnetons per cell

a = 8.8184 Å, b = 8.8184 Å, c = 8.8184 Å
α = 104.77°, β = 110.74°, γ = 113.02°
Sites, in units of the cell vectors:
Cd 0.0000 0.0000 0.0000
Cd 0.0000 0.5000 0.5000
Pr 0.6865 0.0129 0.3264
Pr 0.3135 0.6399 0.3264
Pr 0.7979 0.7638 0.5617
Pr 0.5324 0.7149 0.8175
Pr 0.6865 0.3601 0.6736
Pr 0.8974 0.7149 0.1825
Pr 0.4676 0.2851 0.1825
Pr 0.3135 0.9871 0.6736
Pr 0.7979 0.2362 0.0341
Pr 0.2021 0.2362 0.4383
Pr 0.2021 0.7638 0.9659
Pr 0.1026 0.2851 0.8175
Ru 0.6759 0.0000 0.6759
Ru 0.5000 0.3763 0.8763
Ru 0.3241 0.0000 0.3241
Ru 0.5000 0.6237 0.1237

***

Stability, lowest: w)

***

w) The following is a PBE calculation of a relaxed structure of Pr4Cd2Ru, from the Alexandria database.

Total magnetic moment: 0.00 Bohr magnetons per cell

a = 5.4152 Å, b = 5.4152 Å, c = 8.8367 Å
α = 107.84°, β = 107.84°, γ = 90.00°
Sites, in units of the cell vectors:
Pr 0.1791 0.1791 0.3583
Pr 0.5000 0.0000 0.0000
Pr 0.8209 0.8209 0.6417
Pr 0.0000 0.5000 0.0000
Cd 0.6233 0.6233 0.2466
Cd 0.3767 0.3767 0.7534
Ru 0.0000 0.0000 0.0000

***

x) The following is a PBE calculation of a relaxed structure of Pr4Cd2Ru, from the Alexandria database.

Total magnetic moment: 0.00 Bohr magnetons per cell

a = 3.7405 Å, b = 9.1557 Å, c = 9.4033 Å
α = 136.81°, β = 90.00°, γ = 90.00°
Sites, in units of the cell vectors:
Pr 0.5000 0.8816 0.7435
Pr 0.0000 0.7052 0.9685
Pr 0.5000 0.2613 0.3994
Pr 0.0000 0.4376 0.1744
Cd 0.5000 0.8586 0.3593
Cd 0.5000 0.2842 0.7836
Ru 0.0000 0.0714 0.0714

***

Stability, lowest: w)

***

w) The following is a PBE calculation of a relaxed structure of PrSmCdRu, from the Alexandria database.

Total magnetic moment: 0.00 Bohr magnetons per cell

a = 3.5648 Å, b = 3.5648 Å, c = 7.9173 Å
α = 90.00°, β = 90.00°, γ = 90.00°
Sites, in units of the cell vectors:
Sm 0.5000 0.5000 0.3547
Pr 0.5000 0.5000 0.7872
Ru 0.0000 0.0000 0.5639
Cd 0.0000 0.0000 0.0789

***

x) The following is a PBE calculation of a relaxed structure of PrSmCdRu, from the Alexandria database.

Total magnetic moment: 0.00 Bohr magnetons per cell

a = 5.1872 Å, b = 5.1872 Å, c = 5.1872 Å
α = 60.00°, β = 60.00°, γ = 60.00°
Sites, in units of the cell vectors:
Pr 0.0000 0.0000 0.0000
Ru 0.7500 0.7500 0.7500
Sm 0.5000 0.5000 0.5000
Cd 0.2500 0.2500 0.2500

***

Stability, lowest: x)